[1]
# Ba2PtCl PBE optimized geometry
# Electronic total energy in eV per atom: -4.305
data_Ba2PtCl
_chemical_formula_sum 'Ba2 Pt1 Cl1'
_cell_length_a 8.446
_cell_length_b 8.446
_cell_length_c 8.446
_cell_angle_alpha 31.14
_cell_angle_beta 31.14
_cell_angle_gamma 31.14
_symmetry_space_group_name_H-M 'P 1'
_symmetry_Int_Tables_number 1
loop_
_symmetry_equiv_pos_as_xyz
'x,y,z'
loop_
_atom_site_label
_atom_site_fract_x
_atom_site_fract_y
_atom_site_fract_z
_atom_site_occupancy
Ba1 0.491 0.491 0.491 1
Pt1 0.750 0.750 0.750 1
Ba2 0.009 0.009 0.009 1
Cl1 0.250 0.250 0.250 1

***

[2]
# NaAg3Sb2 PBE optimized geometry
# Electronic total energy in eV per atom: -3.097
data_NaAg3Sb2
_chemical_formula_sum 'Na2 Ag6 Sb4'
_cell_length_a 4.521
_cell_length_b 9.108
_cell_length_c 8.041
_cell_angle_alpha 110.71
_cell_angle_beta 90.00
_cell_angle_gamma 104.37
_symmetry_space_group_name_H-M 'P 1'
_symmetry_Int_Tables_number 1
loop_
_symmetry_equiv_pos_as_xyz
'x,y,z'
loop_
_atom_site_label
_atom_site_fract_x
_atom_site_fract_y
_atom_site_fract_z
_atom_site_occupancy
Sb1 0.532 0.063 0.189 1
Ag1 0.943 0.886 0.595 1
Ag2 0.057 0.114 0.405 1
Sb2 0.197 0.394 0.720 1
Ag3 0.694 0.388 0.466 1
Ag4 0.408 0.817 0.323 1
Na1 0.851 0.703 0.922 1
Sb3 0.803 0.606 0.280 1
Sb4 0.468 0.937 0.811 1
Ag5 0.306 0.612 0.534 1
Ag6 0.592 0.183 0.677 1
Na2 0.149 0.297 0.078 1

***

[3]
# Cs6MoCl12 PBE optimized geometry
# Electronic total energy in eV per atom: -3.474
data_Cs6MoCl12
_chemical_formula_sum 'Cs6 Mo1 Cl12'
_cell_length_a 9.694
_cell_length_b 9.694
_cell_length_c 9.694
_cell_angle_alpha 86.34
_cell_angle_beta 86.34
_cell_angle_gamma 86.34
_symmetry_space_group_name_H-M 'P 1'
_symmetry_Int_Tables_number 1
loop_
_symmetry_equiv_pos_as_xyz
'x,y,z'
loop_
_atom_site_label
_atom_site_fract_x
_atom_site_fract_y
_atom_site_fract_z
_atom_site_occupancy
Cl1 0.862 0.824 0.089 1
Cl2 0.744 0.011 0.506 1
Cs1 0.998 0.245 0.524 1
Cl3 0.256 0.989 0.494 1
Cl4 0.989 0.494 0.256 1
Cl5 0.138 0.176 0.911 1
Mo1 0.000 0.000 0.000 1
Cl6 0.176 0.911 0.138 1
Cl7 0.011 0.506 0.744 1
Cl8 0.911 0.138 0.176 1
Cl9 0.494 0.256 0.989 1
Cs2 0.755 0.476 0.002 1
Cs3 0.245 0.524 0.998 1
Cs4 0.524 0.998 0.245 1
Cs5 0.002 0.755 0.476 1
Cs6 0.476 0.002 0.755 1
Cl10 0.824 0.089 0.862 1
Cl11 0.506 0.744 0.011 1
Cl12 0.089 0.862 0.824 1